Record 1
Density functional theory data (PBE-GGA) for a relaxed structure of RbBaOs.

Computed properties:
E above lowest polymorph   0.9899 eV/atom
ΔE_f   1189 meV per atom
Crystal system   monoclinic

Cell lengths 8.599, 8.599, 3.143 Å; angles 93.21, 93.21, 29.44 degrees
Fractional coordinates of all 3 atoms:
Rb 0.000 0.000 0.000
Ba 0.239 0.239 0.071
Os 0.636 0.636 0.540

=====

Record 2
Density functional theory data (PBE-GGA) for a relaxed structure of RbBa2Os.

Computed properties:
E above lowest polymorph   0.0000 eV/atom
ΔE_f   734 meV per atom
Crystal system   tetragonal

Cell lengths 9.073, 9.073, 9.073 Å; angles 120.07, 120.07, 89.88 degrees
Fractional coordinates of all 8 atoms:
Rb 0.000 0.000 0.000
Rb 0.750 0.250 0.500
Ba 0.373 0.625 0.248
Ba 0.375 0.623 0.748
Ba 0.377 0.125 0.752
Ba 0.875 0.627 0.252
Os 0.250 0.750 0.500
Os 0.500 0.500 0.000

=====

Record 3
Density functional theory data (PBE-GGA) for a relaxed structure of RbBaOs3.

Computed properties:
E above lowest polymorph   0.0219 eV/atom
ΔE_f   3343 meV per atom
Crystal system   cubic

Cell lengths 5.082, 5.082, 5.082 Å; angles 90.00, 90.00, 90.00 degrees
Fractional coordinates of all 5 atoms:
Rb 0.000 0.000 0.000
Ba 0.500 0.500 0.500
Os 0.000 0.000 0.500
Os 0.000 0.500 0.000
Os 0.500 0.000 0.000

=====

Record 4
Density functional theory data (PBE-GGA) for a relaxed structure of Rb2BaOsRu.

Computed properties:
ΔE_f   1223 meV per atom
Crystal system   tetragonal

Cell lengths 6.299, 6.299, 4.691 Å; angles 90.00, 90.00, 90.00 degrees
Fractional coordinates of all 5 atoms:
Rb 0.000 0.500 0.000
Rb 0.500 0.000 0.000
Ba 0.000 0.000 0.500
Os 0.500 0.500 0.500
Ru 0.500 0.500 0.000

=====

Record 5
Density functional theory data (PBE-GGA) for a relaxed structure of RbBaOsW2.

Computed properties:
ΔE_f   3953 meV per atom
Crystal system   tetragonal

Cell lengths 5.097, 5.097, 5.560 Å; angles 90.00, 90.00, 90.00 degrees
Fractional coordinates of all 5 atoms:
Rb 0.000 0.000 0.000
Ba 0.000 0.000 0.500
Os 0.500 0.500 0.000
W 0.000 0.500 0.500
W 0.500 0.000 0.500

=====

Record 6
Density functional theory data (PBE-GGA) for a relaxed structure of RbBa2YOs.

Computed properties:
ΔE_f   341 meV per atom
Crystal system   tetragonal

Cell lengths 6.398, 6.398, 5.481 Å; angles 90.00, 90.00, 90.00 degrees
Fractional coordinates of all 5 atoms:
Rb 0.000 0.000 0.000
Ba 0.000 0.500 0.500
Ba 0.500 0.000 0.500
Y 0.500 0.500 0.000
Os 0.500 0.500 0.500

=====

Record 7
Density functional theory data (PBE-GGA) for a relaxed structure of BaReOs2.

Computed properties:
E above lowest polymorph   0.1345 eV/atom
ΔE_f   877 meV per atom
Crystal system   monoclinic

Cell lengths 4.857, 4.857, 6.582 Å; angles 102.21, 102.21, 37.35 degrees
Fractional coordinates of all 4 atoms:
Ba 0.000 0.000 0.000
Re 0.787 0.787 0.391
Os 0.222 0.222 0.656
Os 0.503 0.503 0.490

=====

Record 8
Density functional theory data (PBE-GGA) for a relaxed structure of BaReOs2.

Computed properties:
E above lowest polymorph   0.8436 eV/atom
ΔE_f   1586 meV per atom
Crystal system   orthorhombic

Cell lengths 5.271, 5.271, 2.824 Å; angles 90.00, 90.00, 107.60 degrees
Fractional coordinates of all 4 atoms:
Ba 0.000 0.000 0.000
Re 0.500 0.500 0.000
Os 0.000 0.500 0.500
Os 0.500 0.000 0.500

=====

Record 9
Density functional theory data (PBE-GGA) for a relaxed structure of Ba2ReOs.

Computed properties:
E above lowest polymorph   1.3318 eV/atom
ΔE_f   1605 meV per atom
Crystal system   tetragonal

Cell lengths 5.978, 5.978, 5.978 Å; angles 136.18, 136.18, 63.70 degrees
Fractional coordinates of all 4 atoms:
Ba 0.250 0.750 0.500
Ba 0.750 0.250 0.500
Re 0.000 0.000 0.000
Os 0.500 0.500 0.000

=====

Record 10
Density functional theory data (PBE-GGA) for a relaxed structure of BaRe3Os.

Computed properties:
E above lowest polymorph   0.0000 eV/atom
ΔE_f   1710 meV per atom
Crystal system   cubic

Cell lengths 4.875, 4.875, 4.875 Å; angles 90.00, 90.00, 90.00 degrees
Fractional coordinates of all 5 atoms:
Ba 0.000 0.000 0.000
Re 0.000 0.500 0.500
Re 0.500 0.000 0.500
Re 0.500 0.500 0.000
Os 0.500 0.500 0.500

=====

Record 11
Density functional theory data (PBE-GGA) for a relaxed structure of BaReOs3.

Computed properties:
ΔE_f   1494 meV per atom
Crystal system   cubic

Cell lengths 4.847, 4.847, 4.847 Å; angles 90.00, 90.00, 90.00 degrees
Fractional coordinates of all 5 atoms:
Ba 0.000 0.000 0.000
Re 0.500 0.500 0.500
Os 0.000 0.500 0.500
Os 0.500 0.000 0.500
Os 0.500 0.500 0.000

=====

Record 12
Density functional theory data (PBE-GGA) for a relaxed structure of BaReOs2.

Computed properties:
E above lowest polymorph   0.8512 eV/atom
ΔE_f   1594 meV per atom
Crystal system   cubic

Cell lengths 4.735, 4.735, 4.735 Å; angles 60.00, 60.00, 60.00 degrees
Fractional coordinates of all 4 atoms:
Ba 0.000 0.000 0.000
Re 0.500 0.500 0.500
Os 0.250 0.250 0.250
Os 0.750 0.750 0.750

=====

ΔE_f of number 12 (BaReOs2)? 1594 meV per atom

=====

Which value of ΔE_f does entry 1 give? 1189 meV per atom

=====

Which of these has the highest ΔE_f? RbBaOsW2